1.
The following is a PBE calculation of a relaxed ZrTa2Al crystal, from Alexandria via LeMat-Bulk.

a = 2.875 Å, b = 2.875 Å, c = 9.070 Å
α = 90.00°, β = 90.00°, γ = 90.44°
Atoms (fractional coordinates):
Zr1 0.000 0.000 0.000
Ta1 0.500 0.500 0.274
Ta2 0.500 0.500 0.726
Al1 0.000 0.000 0.500

Output
Total magnetization: 0.00 μB/cell
Crystal system: orthorhombic
VASP energy: -36.03 eV for the cell shown
Fermi-level density of states: 3.3 states/eV/cell
Energy relative to the elements: -0.01 eV per atom



2.
The following is a PBE calculation of a relaxed KCrPb2 crystal, from Alexandria via LeMat-Bulk.

a = 5.461 Å, b = 5.461 Å, c = 7.151 Å
α = 97.53°, β = 97.53°, γ = 38.31°
Atoms (fractional coordinates):
K1 0.000 0.000 0.000
Cr1 0.759 0.759 0.362
Pb1 0.240 0.240 0.695
Pb2 0.490 0.490 0.456

Output
Total magnetization: 4.41 μB/cell
Energy above the most stable polymorph in this dataset: 220 meV/atom
Crystal system: monoclinic
VASP energy: -16.55 eV for the cell shown
Fermi-level density of states: 2.9 states/eV/cell
Energy relative to the elements: 0.40 eV per atom



3.
The following is a PBE calculation of a relaxed Y2TaSb crystal, from Alexandria via LeMat-Bulk.

a = 6.036 Å, b = 6.036 Å, c = 6.036 Å
α = 140.80°, β = 133.03°, γ = 62.79°
Atoms (fractional coordinates):
Y1 0.000 0.000 0.000
Y2 0.737 0.237 0.500
Ta1 0.267 0.767 0.500
Sb1 0.471 0.471 0.000

Output
Total magnetization: 0.00 μB/cell
Crystal system: orthorhombic
VASP energy: -29.31 eV for the cell shown
Raw formation energy: -0.10 eV/atom
Fermi-level density of states: 3.5 states/eV/cell



4.
The following is a PBE calculation of a relaxed TmMgIrRh crystal, from Alexandria via LeMat-Bulk.

a = 4.608 Å, b = 4.608 Å, c = 4.608 Å
α = 60.00°, β = 60.00°, γ = 60.00°
Atoms (fractional coordinates):
Tm1 0.000 0.000 0.000
Mg1 0.500 0.500 0.500
Ir1 0.750 0.750 0.750
Rh1 0.250 0.250 0.250

Output
Total magnetization: 0.00 μB/cell
Crystal system: cubic
VASP energy: -25.09 eV for the cell shown
Fermi-level density of states: 1.5 states/eV/cell
Energy relative to the elements: -0.70 eV per atom



5.
The following is a PBE calculation of a relaxed Sm8DyTm6 crystal, from Alexandria via LeMat-Bulk.

a = 9.360 Å, b = 9.360 Å, c = 6.459 Å
α = 90.00°, β = 90.00°, γ = 120.00°
Atoms (fractional coordinates):
Sm1 0.038 0.285 0.331
Sm2 0.248 0.962 0.331
Sm3 0.285 0.248 0.669
Sm4 0.333 0.667 0.374
Sm5 0.667 0.333 0.626
Sm6 0.715 0.752 0.331
Sm7 0.752 0.038 0.669
Sm8 0.962 0.715 0.669
Dy1 0.000 0.000 0.000
Tm1 0.095 0.441 0.838
Tm2 0.346 0.905 0.838
Tm3 0.441 0.346 0.162
Tm4 0.559 0.654 0.838
Tm5 0.654 0.095 0.162
Tm6 0.905 0.559 0.162

Output
Total magnetization: 0.00 μB/cell
Energy above the most stable polymorph in this dataset: 52 meV/atom
Crystal system: trigonal
VASP energy: -66.44 eV for the cell shown
Fermi-level density of states: 23.2 states/eV/cell
Energy relative to the elements: 0.18 eV per atom



6.
The following is a PBE calculation of a relaxed Sm4IrSe2Br crystal, from Alexandria via LeMat-Bulk.

a = 7.372 Å, b = 4.090 Å, c = 7.413 Å
α = 90.00°, β = 108.22°, γ = 90.00°
Atoms (fractional coordinates):
Sm1 0.228 0.000 0.219
Sm2 0.257 0.500 0.774
Sm3 0.743 0.500 0.226
Sm4 0.772 0.000 0.781
Ir1 0.000 0.500 0.000
Se1 0.500 0.000 0.000
Se2 0.500 0.500 0.500
Br1 0.000 0.000 0.500

Output
Total magnetization: 0.00 μB/cell
Crystal system: monoclinic
VASP energy: -47.38 eV for the cell shown
Raw formation energy: -1.38 eV/atom
Fermi-level density of states: 5.5 states/eV/cell



7.
The following is a PBE calculation of a relaxed Cs2Tl2I2O crystal, from Alexandria via LeMat-Bulk.

a = 7.279 Å, b = 7.279 Å, c = 9.725 Å
α = 115.00°, β = 115.00°, γ = 40.02°
Atoms (fractional coordinates):
Cs1 0.034 0.034 0.283
Cs2 0.966 0.966 0.717
Tl1 0.321 0.321 0.942
Tl2 0.679 0.679 0.058
I1 0.328 0.328 0.350
I2 0.672 0.672 0.650
O1 0.500 0.500 0.000

Output
Total magnetization: 0.00 μB/cell
Crystal system: monoclinic
VASP energy: -21.65 eV for the cell shown
Raw formation energy: -1.02 eV/atom
Fermi-level density of states: 0.0 states/eV/cell



8.
The following is a PBE calculation of a relaxed SrYTl2 crystal, from Alexandria via LeMat-Bulk.

a = 3.755 Å, b = 5.435 Å, c = 6.540 Å
α = 90.00°, β = 90.00°, γ = 90.00°
Atoms (fractional coordinates):
Sr1 0.000 0.000 0.000
Y1 0.500 0.500 0.560
Tl1 0.000 0.000 0.505
Tl2 0.500 0.500 0.073

Output
Total magnetization: 0.00 μB/cell
Crystal system: orthorhombic
VASP energy: -13.55 eV for the cell shown
Fermi-level density of states: 3.6 states/eV/cell
Energy relative to the elements: -0.17 eV per atom



9.
The following is a PBE calculation of a relaxed Dy2PuTl crystal, from Alexandria via LeMat-Bulk.

a = 5.412 Å, b = 5.412 Å, c = 5.412 Å
α = 60.00°, β = 60.00°, γ = 60.00°
Atoms (fractional coordinates):
Dy1 0.250 0.250 0.250
Dy2 0.750 0.750 0.750
Pu1 0.000 0.000 0.000
Tl1 0.500 0.500 0.500

Output
Total magnetization: 6.71 μB/cell
Energy above the most stable polymorph in this dataset: 119 meV/atom
Crystal system: cubic
VASP energy: -25.72 eV for the cell shown
Fermi-level density of states: 14.9 states/eV/cell
Energy relative to the elements: 0.04 eV per atom



10.
The following is a PBE calculation of a relaxed Ca2ClF2 crystal, from Alexandria via LeMat-Bulk.

a = 7.437 Å, b = 7.437 Å, c = 7.437 Å
α = 123.91°, β = 123.91°, γ = 83.35°
Atoms (fractional coordinates):
Ca1 0.244 0.000 0.244
Ca2 0.750 0.006 0.256
Ca3 0.750 0.494 0.744
Ca4 0.756 0.000 0.756
Cl1 0.315 0.815 0.500
Cl2 0.565 0.565 0.000
F1 0.497 0.206 0.290
F2 0.916 0.206 0.710
F3 0.956 0.166 0.210
F4 0.956 0.747 0.790

Output
Total magnetization: 1.73 μB/cell
Crystal system: tetragonal
VASP energy: -46.09 eV for the cell shown
Raw formation energy: -2.69 eV/atom
Fermi-level density of states: 3.1 states/eV/cell



11.
The following is a PBE calculation of a relaxed LiMgPd2O4 crystal, from Alexandria via LeMat-Bulk.

a = 5.310 Å, b = 5.310 Å, c = 5.310 Å
α = 131.31°, β = 131.31°, γ = 71.32°
Atoms (fractional coordinates):
Li1 0.000 0.000 0.000
Mg1 0.500 0.500 0.000
Pd1 0.250 0.750 0.500
Pd2 0.750 0.250 0.500
O1 0.000 0.500 0.500
O2 0.258 0.258 0.000
O3 0.500 0.000 0.500
O4 0.742 0.742 0.000

Output
Total magnetization: 0.00 μB/cell
Crystal system: tetragonal
VASP energy: -42.91 eV for the cell shown
Raw formation energy: -1.15 eV/atom
Fermi-level density of states: 2.6 states/eV/cell



12.
The following is a PBE calculation of a relaxed LiAc2Ni4As3 crystal, from Alexandria via LeMat-Bulk.

a = 4.261 Å, b = 4.261 Å, c = 9.853 Å
α = 90.00°, β = 90.00°, γ = 90.00°
Atoms (fractional coordinates):
Li1 0.000 0.000 0.000
Ac1 0.000 0.500 0.744
Ac2 0.500 0.000 0.256
Ni1 0.000 0.000 0.500
Ni2 0.000 0.500 0.125
Ni3 0.500 0.000 0.875
Ni4 0.500 0.500 0.500
As1 0.000 0.500 0.374
As2 0.500 0.000 0.626
As3 0.500 0.500 0.000

Output
Total magnetization: 0.00 μB/cell
Crystal system: tetragonal
VASP energy: -54.39 eV for the cell shown
Fermi-level density of states: 7.4 states/eV/cell
Energy relative to the elements: -0.72 eV per atom



13.
The following is a PBE calculation of a relaxed Ba2CuSb3Pd4 crystal, from Alexandria via LeMat-Bulk.

a = 4.713 Å, b = 4.713 Å, c = 10.740 Å
α = 90.00°, β = 90.00°, γ = 90.00°
Atoms (fractional coordinates):
Ba1 0.000 0.500 0.245
Ba2 0.500 0.000 0.755
Cu1 0.500 0.500 0.000
Sb1 0.000 0.000 0.000
Sb2 0.000 0.500 0.628
Sb3 0.500 0.000 0.372
Pd1 0.000 0.000 0.500
Pd2 0.000 0.500 0.882
Pd3 0.500 0.000 0.118
Pd4 0.500 0.500 0.500

Output
Total magnetization: 0.00 μB/cell
Crystal system: tetragonal
VASP energy: -48.02 eV for the cell shown
Raw formation energy: -0.69 eV/atom
Fermi-level density of states: 5.3 states/eV/cell



14.
The following is a PBE calculation of a relaxed Tc2AgTe crystal, from Alexandria via LeMat-Bulk.

a = 3.228 Å, b = 3.228 Å, c = 6.520 Å
α = 90.00°, β = 90.00°, γ = 90.00°
Atoms (fractional coordinates):
Tc1 0.000 0.000 0.230
Tc2 0.000 0.000 0.770
Ag1 0.500 0.500 0.500
Te1 0.500 0.500 0.000

Output
Total magnetization: 0.00 μB/cell
Crystal system: tetragonal
VASP energy: -24.39 eV for the cell shown
Raw formation energy: 0.58 eV/atom
Fermi-level density of states: 4.7 states/eV/cell



15.
The following is a PBE calculation of a relaxed Ca2CoCu crystal, from Alexandria via LeMat-Bulk.

a = 4.951 Å, b = 4.951 Å, c = 3.483 Å
α = 90.00°, β = 90.00°, γ = 90.09°
Atoms (fractional coordinates):
Ca1 0.000 0.500 0.000
Ca2 0.500 0.000 0.000
Co1 0.000 0.000 0.500
Cu1 0.500 0.500 0.500

Output
Total magnetization: 0.70 μB/cell
Energy above the most stable polymorph in this dataset: 143 meV/atom
Crystal system: orthorhombic
VASP energy: -14.31 eV for the cell shown
Fermi-level density of states: 6.3 states/eV/cell
Energy relative to the elements: 0.22 eV per atom



16.
The following is a PBE calculation of a relaxed YHf2Pb2 crystal, from Alexandria via LeMat-Bulk.

a = 8.774 Å, b = 8.774 Å, c = 3.306 Å
α = 90.00°, β = 90.00°, γ = 90.00°
Atoms (fractional coordinates):
Y1 0.000 0.000 0.000
Y2 0.500 0.500 0.000
Hf1 0.121 0.379 0.000
Hf2 0.379 0.879 0.000
Hf3 0.621 0.121 0.000
Hf4 0.879 0.621 0.000
Pb1 0.175 0.675 0.500
Pb2 0.325 0.175 0.500
Pb3 0.675 0.825 0.500
Pb4 0.825 0.325 0.500

Output
Total magnetization: 0.46 μB/cell
Energy above the most stable polymorph in this dataset: 122 meV/atom
Crystal system: tetragonal
VASP energy: -66.77 eV for the cell shown
Fermi-level density of states: 7.7 states/eV/cell
Energy relative to the elements: 0.08 eV per atom



17.
The following is a PBE calculation of a relaxed TbPr3YTm crystal, from Alexandria via LeMat-Bulk.

a = 8.124 Å, b = 8.124 Å, c = 10.250 Å
α = 90.00°, β = 90.00°, γ = 143.13°
Atoms (fractional coordinates):
Tb1 0.000 0.000 0.000
Tb2 0.000 0.000 0.500
Pr1 0.165 0.835 0.750
Pr2 0.336 0.664 0.000
Pr3 0.336 0.664 0.500
Pr4 0.664 0.336 0.000
Pr5 0.664 0.336 0.500
Pr6 0.835 0.165 0.250
Y1 0.164 0.836 0.250
Y2 0.836 0.164 0.750
Tm1 0.499 0.501 0.750
Tm2 0.501 0.499 0.250

Output
Total magnetization: 0.00 μB/cell
Crystal system: orthorhombic
VASP energy: -59.54 eV for the cell shown
Fermi-level density of states: 18.2 states/eV/cell
Energy relative to the elements: 0.02 eV per atom



18.
The following is a PBE calculation of a relaxed SrMgTl2Pd crystal, from Alexandria via LeMat-Bulk.

a = 5.375 Å, b = 5.375 Å, c = 5.033 Å
α = 90.00°, β = 90.00°, γ = 90.00°
Atoms (fractional coordinates):
Sr1 0.000 0.000 0.000
Mg1 0.500 0.500 0.000
Tl1 0.000 0.500 0.500
Tl2 0.500 0.000 0.500
Pd1 0.500 0.500 0.500

Output
Total magnetization: 0.00 μB/cell
Crystal system: tetragonal
VASP energy: -14.35 eV for the cell shown
Fermi-level density of states: 3.0 states/eV/cell
Energy relative to the elements: -0.23 eV per atom



19.
The following is a PBE calculation of a relaxed CsTcPt3 crystal, from Alexandria via LeMat-Bulk.

a = 4.978 Å, b = 4.978 Å, c = 4.978 Å
α = 90.00°, β = 90.00°, γ = 90.00°
Atoms (fractional coordinates):
Cs1 0.000 0.000 0.000
Tc1 0.500 0.500 0.500
Pt1 0.000 0.500 0.500
Pt2 0.500 0.000 0.500
Pt3 0.500 0.500 0.000

Output
Total magnetization: 0.00 μB/cell
Energy above the most stable polymorph in this dataset: 0 meV/atom
Crystal system: cubic
VASP energy: -25.50 eV for the cell shown
Fermi-level density of states: 5.9 states/eV/cell
Energy relative to the elements: 0.77 eV per atom



20.
The following is a PBE calculation of a relaxed GeIrSeBr2 crystal, from Alexandria via LeMat-Bulk.

a = 5.055 Å, b = 5.055 Å, c = 4.933 Å
α = 90.00°, β = 90.00°, γ = 90.00°
Atoms (fractional coordinates):
Ge1 0.000 0.000 0.000
Ir1 0.500 0.500 0.500
Se1 0.500 0.500 0.000
Br1 0.000 0.500 0.500
Br2 0.500 0.000 0.500

Output
Total magnetization: 0.00 μB/cell
Energy above the most stable polymorph in this dataset: 0 meV/atom
Crystal system: tetragonal
VASP energy: -18.18 eV for the cell shown
Raw formation energy: 0.43 eV/atom
Fermi-level density of states: 2.7 states/eV/cell